VASP calculation (GGA-PBE) on a geometry-optimized AcNd7Sm12 structure.

```
data_AcNd7Sm12
_space_group_name_H-M_alt 'I m -3 m'
_space_group_IT_number 229
_space_group_name_Hall '-I 4 2 3'
_cell_length_a 11.602
_cell_length_b 11.602
_cell_length_c 11.602
_cell_angle_alpha 90.00
_cell_angle_beta 90.00
_cell_angle_gamma 90.00
loop_
_atom_site_label
_atom_site_type_symbol
_atom_site_fract_x
_atom_site_fract_y
_atom_site_fract_z
Ac1 Ac 0.000 0.000 0.000
Nd1 Nd 0.000 0.000 0.500
Nd2 Nd 0.250 0.250 0.250
Sm1 Sm 0.000 0.254 0.254
```

Computed properties:
calculated volume = 39.04 A^3/atom
E above lowest polymorph = 0.3587 eV per atom
E_form = 13.20 kcal/mol of atoms
magnetic moment = 0.00 Bohr magnetons per cell

VASP calculation (GGA-PBE) on a geometry-optimized Gd2ScIn structure.

```
data_Gd2ScIn
_space_group_name_H-M_alt 'P 4/m m m'
_space_group_IT_number 123
_space_group_name_Hall '-P 4 2'
_cell_length_a 4.775
_cell_length_b 4.775
_cell_length_c 4.762
_cell_angle_alpha 90.00
_cell_angle_beta 90.00
_cell_angle_gamma 90.00
loop_
_atom_site_label
_atom_site_type_symbol
_atom_site_fract_x
_atom_site_fract_y
_atom_site_fract_z
Gd1 Gd 0.000 0.500 0.000
Sc1 Sc 0.000 0.000 0.500
In1 In 0.500 0.500 0.500
```

Computed properties:
calculated volume = 27.14 A^3/atom
E above lowest polymorph = 0.0000 eV per atom
E_form = -6.41 kcal/mol of atoms
magnetic moment = 15.59 Bohr magnetons per cell

VASP calculation (GGA-PBE) on a geometry-optimized TaCdGaGe2 structure.

```
data_TaCdGaGe2
_space_group_name_H-M_alt 'P 4/m m m'
_space_group_IT_number 123
_space_group_name_Hall '-P 4 2'
_cell_length_a 4.910
_cell_length_b 4.910
_cell_length_c 5.413
_cell_angle_alpha 90.00
_cell_angle_beta 90.00
_cell_angle_gamma 90.00
loop_
_atom_site_label
_atom_site_type_symbol
_atom_site_fract_x
_atom_site_fract_y
_atom_site_fract_z
Ta1 Ta 0.000 0.000 0.000
Cd1 Cd 0.000 0.000 0.500
Ga1 Ga 0.500 0.500 0.000
Ge1 Ge 0.000 0.500 0.500
```

Computed properties:
calculated volume = 26.09 A^3/atom
E above lowest polymorph = 0.9148 eV per atom
E_form = 33.66 kcal/mol of atoms
magnetic moment = 0.90 Bohr magnetons per cell

VASP calculation (GGA-PBE) on a geometry-optimized ErAl2Ga3 structure.

```
data_ErAl2Ga3
_space_group_name_H-M_alt 'C m c m'
_space_group_IT_number 63
_space_group_name_Hall '-C 2c 2'
_cell_length_a 5.756
_cell_length_b 14.760
_cell_length_c 5.530
_cell_angle_alpha 90.00
_cell_angle_beta 90.00
_cell_angle_gamma 90.00
loop_
_atom_site_label
_atom_site_type_symbol
_atom_site_fract_x
_atom_site_fract_y
_atom_site_fract_z
Er1 Er 0.000 0.171 0.250
Al1 Al 0.239 0.000 0.000
Ga1 Ga 0.000 0.348 0.750
Ga2 Ga 0.245 0.156 0.750
```

Computed properties:
calculated volume = 19.58 A^3/atom
E above lowest polymorph = 0.0846 eV per atom
E_form = -4.92 kcal/mol of atoms
magnetic moment = 0.00 Bohr magnetons per cell

VASP calculation (GGA-PBE) on a geometry-optimized LiNdTi2O6 structure.

```
data_LiNdTi2O6
_space_group_name_H-M_alt 'P 4/n b m'
_space_group_IT_number 125
_cell_length_a 5.391
_cell_length_b 5.391
_cell_length_c 7.910
_cell_angle_alpha 90.00
_cell_angle_beta 90.00
_cell_angle_gamma 90.00
loop_
_space_group_symop_operation_xyz
'x,y,z'
'-x,-y,-z'
'-y+1/2,x,z'
'y+1/2,-x,-z'
'-x+1/2,-y+1/2,z'
'x+1/2,y+1/2,-z'
'y,-x+1/2,z'
'-y,x+1/2,-z'
'x,-y+1/2,-z'
'-x,y+1/2,z'
'-y+1/2,-x+1/2,-z'
'y+1/2,x+1/2,z'
'-x+1/2,y,-z'
'x+1/2,-y,z'
'y,x,-z'
'-y,-x,z'
loop_
_atom_site_label
_atom_site_type_symbol
_atom_site_fract_x
_atom_site_fract_y
_atom_site_fract_z
Li1 Li 0.250 0.750 0.000
Nd1 Nd 0.250 0.750 0.500
Ti1 Ti 0.250 0.250 0.236
O1 O 0.055 0.555 0.259
O2 O 0.250 0.250 0.000
O3 O 0.250 0.250 0.500
```

Computed properties:
calculated volume = 11.49 A^3/atom
E above lowest polymorph = 0.0657 eV per atom
energy relative to the elements, uncorrected = -2.98 eV per atom
magnetic moment = 0.00 Bohr magnetons per cell

VASP calculation (GGA-PBE) on a geometry-optimized Sn2H2I5 structure.

```
data_Sn2H2I5
_space_group_name_H-M_alt 'C 1 2/m 1'
_space_group_IT_number 12
_cell_length_a 19.579
_cell_length_b 7.071
_cell_length_c 6.152
_cell_angle_alpha 90.00
_cell_angle_beta 95.37
_cell_angle_gamma 90.00
loop_
_space_group_symop_operation_xyz
'x,y,z'
'-x,-y,-z'
'-x,y,-z'
'x,-y,z'
'x+1/2,y+1/2,z'
'-x+1/2,-y+1/2,-z'
'-x+1/2,y+1/2,-z'
'x+1/2,-y+1/2,z'
loop_
_atom_site_label
_atom_site_type_symbol
_atom_site_fract_x
_atom_site_fract_y
_atom_site_fract_z
Sn1 Sn 0.152 0.000 0.047
H1 H 0.116 0.500 0.830
I1 I 0.000 0.000 0.000
I2 I 0.164 0.500 0.063
I3 I 0.176 0.000 0.539
```

Computed properties:
calculated volume = 47.11 A^3/atom
energy = -2.53 eV per atom
magnetic moment = 0.00 Bohr magnetons per cell

VASP calculation (GGA-PBE) on a geometry-optimized UV2Bi structure.

```
data_UV2Bi
_space_group_name_H-M_alt 'R -3 m'
_space_group_IT_number 166
_space_group_name_Hall '-R 3 2"'
_cell_length_a 3.2025
_cell_length_b 3.2025
_cell_length_c 28.1445
_cell_angle_alpha 90.00
_cell_angle_beta 90.00
_cell_angle_gamma 120.00
loop_
_atom_site_label
_atom_site_type_symbol
_atom_site_fract_x
_atom_site_fract_y
_atom_site_fract_z
U1 U 0.0000 0.0000 0.0000
V1 V 0.0000 0.0000 0.3985
Bi1 Bi 0.0000 0.0000 0.5000
```

Computed properties:
calculated volume = 20.83 A^3/atom
E_form = 17.28 kcal/mol of atoms
magnetic moment = 0.03 Bohr magnetons per cell

VASP calculation (GGA-PBE) on a geometry-optimized Zn2Si2N structure.

```
data_Zn2Si2N
_space_group_name_H-M_alt 'I 4/m m m'
_space_group_IT_number 139
_space_group_name_Hall '-I 4 2'
_cell_length_a 3.273
_cell_length_b 3.273
_cell_length_c 14.095
_cell_angle_alpha 90.00
_cell_angle_beta 90.00
_cell_angle_gamma 90.00
loop_
_atom_site_label
_atom_site_type_symbol
_atom_site_fract_x
_atom_site_fract_y
_atom_site_fract_z
Zn1 Zn 0.000 0.500 0.250
Si1 Si 0.000 0.000 0.082
N1 N 0.000 0.000 0.500
```

Computed properties:
calculated volume = 15.10 A^3/atom
E above lowest polymorph = 0.5852 eV per atom
energy relative to the elements, uncorrected = 1.08 eV per atom
magnetic moment = 0.00 Bohr magnetons per cell

VASP calculation (GGA-PBE) on a geometry-optimized TaSe structure.

```
data_TaSe
_space_group_name_H-M_alt 'P 1 21/m 1'
_space_group_IT_number 11
_cell_length_a 3.539
_cell_length_b 4.245
_cell_length_c 6.558
_cell_angle_alpha 90.00
_cell_angle_beta 90.10
_cell_angle_gamma 90.00
loop_
_space_group_symop_operation_xyz
'x,y,z'
'-x,-y,-z'
'-x,y+1/2,-z'
'x,-y+1/2,z'
loop_
_atom_site_label
_atom_site_type_symbol
_atom_site_fract_x
_atom_site_fract_y
_atom_site_fract_z
Ta1 Ta 0.250 0.250 0.027
Se1 Se 0.251 0.750 0.275
```

Computed properties:
calculated volume = 24.63 A^3/atom
energy relative to the elements, uncorrected = -0.40 eV per atom
magnetic moment = 0.00 Bohr magnetons per cell

VASP calculation (GGA-PBE) on a geometry-optimized GaCuBr3 structure.

```
data_GaCuBr3
_space_group_name_H-M_alt 'P m -3 m'
_space_group_IT_number 221
_space_group_name_Hall '-P 4 2 3'
_cell_length_a 5.090
_cell_length_b 5.090
_cell_length_c 5.090
_cell_angle_alpha 90.00
_cell_angle_beta 90.00
_cell_angle_gamma 90.00
loop_
_atom_site_label
_atom_site_type_symbol
_atom_site_fract_x
_atom_site_fract_y
_atom_site_fract_z
Ga1 Ga 0.000 0.000 0.000
Cu1 Cu 0.500 0.500 0.500
Br1 Br 0.000 0.500 0.500
```

Computed properties:
calculated volume = 26.37 A^3/atom
E above lowest polymorph = 0.0000 eV per atom
energy relative to the elements, uncorrected = -0.30 eV per atom
magnetic moment = 0.00 Bohr magnetons per cell